# 1
First-principles (PBE) data for a geometry-optimized AcAlGaAu3 structure, as listed in the Alexandria database.

Summary:
Crystal system ... orthorhombic
Symmetry ... Cmcm, No. 63
Formation enthalpy at 0 K ... -0.486 eV per atom

Cell and atoms, written as POSCAR:
```
AcAlGaAu3
1.0
6.5160 0.0000 0.0000
0.0000 6.7967 0.0000
0.0000 -3.3984 6.3163
Au Ga Ac Al
6 2 2 2
Direct
0.5000 0.2866 0.0000 Au
0.0000 0.2866 0.0000 Au
0.5000 0.7134 0.0000 Au
0.2500 0.1837 0.3674 Au
0.0000 0.7134 0.0000 Au
0.7500 0.8163 0.6326 Au
0.2500 0.3823 0.7645 Ga
0.7500 0.6177 0.2355 Ga
0.2500 0.7170 0.4341 Ac
0.7500 0.2830 0.5659 Ac
0.7500 0.0150 0.0299 Al
0.2500 0.9850 0.9701 Al
```



# 2
First-principles (PBE) data for a geometry-optimized AcAlGaAu structure, as listed in the Alexandria database.

Summary:
Crystal system ... cubic
Symmetry ... F-43m, No. 216
Formation enthalpy at 0 K ... -0.424 eV per atom

Cell and atoms, written as POSCAR:
```
AcAlGaAu
1.0
5.1305 0.0000 0.0000
2.5653 4.4432 0.0000
2.5653 1.4811 4.1891
Al Ga Ac Au
1 1 1 1
Direct
0.0000 0.0000 0.0000 Al
0.2500 0.2500 0.2500 Ga
0.5000 0.5000 0.5000 Ac
0.7500 0.7500 0.7500 Au
```



# 3
First-principles (PBE) data for a geometry-optimized Ac2Al3GaAu4 structure, as listed in the Alexandria database.

Summary:
Crystal system ... tetragonal
Symmetry ... P-4m2, No. 115
Formation enthalpy at 0 K ... -0.720 eV per atom

Cell and atoms, written as POSCAR:
```
Ac2Al3GaAu4
1.0
-4.3580 -1.4045 0.3040
0.4041 -0.2664 4.5632
-3.1678 10.0169 0.8654
Ac Ga Al Au
2 1 3 4
Direct
0.5000 0.0000 0.2497 Ac
0.0000 0.5000 0.7503 Ac
0.5000 0.5000 0.5000 Ga
0.0000 0.0000 0.5000 Al
0.0000 0.5000 0.1253 Al
0.5000 0.0000 0.8747 Al
0.5000 0.0000 0.6304 Au
0.0000 0.0000 0.0000 Au
0.0000 0.5000 0.3696 Au
0.5000 0.5000 0.0000 Au
```



# 4
First-principles (PBE) data for a geometry-optimized AcAlGaAu6 structure, as listed in the Alexandria database.

Summary:
Crystal system ... orthorhombic
Symmetry ... Imma, No. 74
Formation enthalpy at 0 K ... -0.252 eV per atom

Cell and atoms, written as POSCAR:
```
AcAlGaAu6
1.0
-3.4533 3.1267 5.2916
-6.8238 1.7252 -5.4726
2.2278 -8.5276 1.7963
Ac Au Al Ga
2 12 2 2
Direct
0.1110 0.3610 0.2220 Ac
0.8890 0.6390 0.7780 Ac
0.5675 0.8673 0.7069 Au
0.1394 0.3396 0.7069 Au
0.8606 0.6604 0.2931 Au
0.3956 0.6456 0.7912 Au
0.6044 0.3544 0.2088 Au
0.8606 0.1327 0.2931 Au
0.4325 0.6604 0.2931 Au
0.1094 0.8594 0.2189 Au
0.1394 0.8673 0.7069 Au
0.8906 0.1406 0.7811 Au
0.5675 0.3396 0.7069 Au
0.4325 0.1327 0.2931 Au
0.5000 0.0000 0.0000 Al
0.5000 0.5000 0.0000 Al
0.5000 0.0000 0.5000 Ga
0.0000 0.0000 0.5000 Ga
```



# 5
First-principles (PBE) data for a geometry-optimized AcGdAlAu structure, as listed in the Alexandria database.

Summary:
Crystal system ... cubic
Symmetry ... F-43m, No. 216
Formation enthalpy at 0 K ... -0.461 eV per atom

Cell and atoms, written as POSCAR:
```
AcGdAlAu
1.0
-2.9048 -4.1745 1.8124
0.9884 -2.0542 4.8941
-3.5564 0.7191 3.9980
Ac Au Gd Al
1 1 1 1
Direct
0.2500 0.2500 0.2500 Ac
0.0000 0.0000 0.0000 Au
0.7500 0.7500 0.7500 Gd
0.5000 0.5000 0.5000 Al
```



# 6
First-principles (PBE) data for a geometry-optimized Ac2AlGeAu6 structure, as listed in the Alexandria database.

Summary:
Crystal system ... triclinic
Symmetry ... P-1, No. 2
Formation enthalpy at 0 K ... -0.561 eV per atom

Cell and atoms, written as POSCAR:
```
Ac2AlGeAu6
1.0
6.9686 -0.2397 -1.0929
-0.2285 7.0233 1.1033
2.6351 4.1937 5.1574
Ac Ge Au Al
2 1 6 1
Direct
0.7265 0.2557 0.5347 Ac
0.2735 0.7443 0.4653 Ac
0.0000 0.0000 0.0000 Ge
0.2731 0.7669 0.9888 Au
0.2696 0.2613 0.4915 Au
0.8900 0.7413 0.8629 Au
0.7304 0.7387 0.5085 Au
0.1100 0.2587 0.1371 Au
0.7269 0.2331 0.0112 Au
0.5000 0.5000 0.0000 Al
```



# 7
First-principles (PBE) data for a geometry-optimized Ac3AlGe2Au6 structure, as listed in the Alexandria database.

Summary:
Crystal system ... trigonal
Symmetry ... P-3m1, No. 164
Formation enthalpy at 0 K ... -0.578 eV per atom

Cell and atoms, written as POSCAR:
```
Ac3AlGe2Au6
1.0
-0.3006 -0.7823 6.5325
-1.2816 -5.0825 -3.9877
7.9596 -2.0974 0.1151
Au Ac Ge Al
6 3 2 1
Direct
0.1781 0.8219 0.3041 Au
0.3563 0.1781 0.6959 Au
0.8219 0.1781 0.6959 Au
0.6437 0.8219 0.3041 Au
0.1781 0.3563 0.3041 Au
0.8219 0.6437 0.6959 Au
0.3333 0.6667 0.6639 Ac
0.0000 0.0000 0.0000 Ac
0.6667 0.3333 0.3362 Ac
0.3333 0.6667 0.0678 Ge
0.6667 0.3333 0.9322 Ge
0.0000 0.0000 0.5000 Al
```



# 8
First-principles (PBE) data for a geometry-optimized Ac2Al4GeAu3 structure, as listed in the Alexandria database.

Summary:
Crystal system ... tetragonal
Symmetry ... P-4m2, No. 115
Formation enthalpy at 0 K ... -0.699 eV per atom

Cell and atoms, written as POSCAR:
```
Ac2Al4GeAu3
1.0
4.5780 0.0000 0.0000
0.0000 4.5780 0.0000
0.0000 0.0000 10.5134
Ac Al Ge Au
2 4 1 3
Direct
0.5000 0.0000 0.2537 Ac
0.0000 0.5000 0.7463 Ac
0.5000 0.0000 0.6270 Al
0.5000 0.5000 0.0000 Al
0.0000 0.5000 0.3730 Al
0.0000 0.0000 0.0000 Al
0.5000 0.5000 0.5000 Ge
0.0000 0.0000 0.5000 Au
0.0000 0.5000 0.1271 Au
0.5000 0.0000 0.8729 Au
```



# 9
First-principles (PBE) data for a geometry-optimized Ac2Al3GeAu4 structure, as listed in the Alexandria database.

Summary:
Crystal system ... tetragonal
Symmetry ... P-4m2, No. 115
Formation enthalpy at 0 K ... -0.694 eV per atom

Cell and atoms, written as POSCAR:
```
Ac2Al3GeAu4
1.0
4.6047 0.0000 0.0000
0.0000 4.6047 0.0000
0.0000 0.0000 10.5068
Al Ge Au Ac
3 1 4 2
Direct
0.0000 0.5000 0.1237 Al
0.5000 0.0000 0.8763 Al
0.0000 0.0000 0.5000 Al
0.5000 0.5000 0.5000 Ge
0.5000 0.5000 0.0000 Au
0.0000 0.5000 0.3691 Au
0.5000 0.0000 0.6309 Au
0.0000 0.0000 0.0000 Au
0.5000 0.0000 0.2510 Ac
0.0000 0.5000 0.7490 Ac
```



# 10
First-principles (PBE) data for a geometry-optimized AcAlHAu structure, as listed in the Alexandria database.

Summary:
Crystal system ... tetragonal
Symmetry ... P4/nmm, No. 129

Cell and atoms, written as POSCAR:
```
AcAlHAu
1.0
-1.2369 -4.1571 0.6651
3.9839 -0.9316 1.5857
-2.5963 2.0046 7.7006
Al Au H Ac
2 2 2 2
Direct
0.5000 0.5000 0.0000 Al
0.0000 0.0000 0.0000 Al
0.5000 0.0000 0.1709 Au
0.0000 0.5000 0.8291 Au
0.5000 0.5000 0.5000 H
0.0000 0.0000 0.5000 H
0.5000 0.0000 0.6596 Ac
0.0000 0.5000 0.3404 Ac
```



# 11
First-principles (PBE) data for a geometry-optimized Ac2HfAl4Au3 structure, as listed in the Alexandria database.

Summary:
Crystal system ... tetragonal
Symmetry ... P-4m2, No. 115
Formation enthalpy at 0 K ... -0.591 eV per atom

Cell and atoms, written as POSCAR:
```
Ac2HfAl4Au3
1.0
4.4636 0.0000 0.0000
0.0000 4.4636 0.0000
0.0000 0.0000 11.4190
Au Hf Ac Al
3 1 2 4
Direct
0.0000 0.0000 0.5000 Au
0.0000 0.5000 0.1231 Au
0.5000 0.0000 0.8769 Au
0.5000 0.5000 0.5000 Hf
0.5000 0.0000 0.2452 Ac
0.0000 0.5000 0.7548 Ac
0.5000 0.5000 0.0000 Al
0.5000 0.0000 0.6462 Al
0.0000 0.0000 0.0000 Al
0.0000 0.5000 0.3538 Al
```



# 12
First-principles (PBE) data for a geometry-optimized Ac2Al3HgAu4 structure, as listed in the Alexandria database.

Summary:
Crystal system ... tetragonal
Symmetry ... P-4m2, No. 115
Formation enthalpy at 0 K ... -0.643 eV per atom

Cell and atoms, written as POSCAR:
```
Ac2Al3HgAu4
1.0
-0.7295 3.7004 -2.6493
-2.2557 -2.6243 -3.0444
-9.2996 1.9169 5.2381
Ac Al Au Hg
2 3 4 1
Direct
0.0000 0.5000 0.7538 Ac
0.5000 0.0000 0.2462 Ac
0.5000 0.0000 0.8822 Al
0.0000 0.5000 0.1178 Al
0.0000 0.0000 0.5000 Al
0.5000 0.0000 0.6486 Au
0.5000 0.5000 0.0000 Au
0.0000 0.5000 0.3514 Au
0.0000 0.0000 0.0000 Au
0.5000 0.5000 0.5000 Hg
```



# 13
First-principles (PBE) data for a geometry-optimized AcAl2HgAu structure, as listed in the Alexandria database.

Summary:
Crystal system ... tetragonal
Symmetry ... I-4m2, No. 119
Formation enthalpy at 0 K ... -0.514 eV per atom

Cell and atoms, written as POSCAR:
```
AcAl2HgAu
1.0
-2.1860 -4.1306 -0.4944
1.6736 -0.3619 -4.3764
4.5403 -0.2417 4.2795
Ac Al Au Hg
1 2 1 1
Direct
0.0000 0.0000 0.0000 Ac
0.6233 0.6233 0.2466 Al
0.3767 0.3767 0.7534 Al
0.2500 0.7500 0.5000 Au
0.7500 0.2500 0.5000 Hg
```



# 14
First-principles (PBE) data for a geometry-optimized AcAl2HgAu4 structure, as listed in the Alexandria database.

Summary:
Crystal system ... trigonal
Symmetry ... R-3m, No. 166
Formation enthalpy at 0 K ... -0.434 eV per atom

Cell and atoms, written as POSCAR:
```
AcAl2HgAu4
1.0
-2.0209 -3.1823 -2.3382
2.4086 -3.0515 -2.1366
-0.0735 -8.0898 6.8660
Au Al Ac Hg
4 2 1 1
Direct
0.8821 0.8821 0.3538 Au
0.1179 0.1179 0.6462 Au
0.3978 0.3978 0.8065 Au
0.6022 0.6022 0.1935 Au
0.7577 0.7577 0.7269 Al
0.2423 0.2423 0.2731 Al
0.0000 0.0000 0.0000 Ac
0.5000 0.5000 0.5000 Hg
```



# 15
First-principles (PBE) data for a geometry-optimized Ac2Al4Hg3Au structure, as listed in the Alexandria database.

Summary:
Crystal system ... tetragonal
Symmetry ... P-4m2, No. 115
Formation enthalpy at 0 K ... -0.443 eV per atom

Cell and atoms, written as POSCAR:
```
Ac2Al4Hg3Au
1.0
-1.2797 4.2660 1.2678
-2.1411 -1.7466 3.7160
9.3029 1.0509 5.8539
Al Hg Au Ac
4 3 1 2
Direct
0.5000 0.0000 0.6224 Al
0.0000 0.0000 0.0000 Al
0.0000 0.5000 0.3776 Al
0.5000 0.5000 0.0000 Al
0.0000 0.0000 0.5000 Hg
0.5000 0.0000 0.8641 Hg
0.0000 0.5000 0.1359 Hg
0.5000 0.5000 0.5000 Au
0.0000 0.5000 0.7447 Ac
0.5000 0.0000 0.2553 Ac
```



# 16
First-principles (PBE) data for a geometry-optimized AcAlHgAu structure, as listed in the Alexandria database.

Summary:
Crystal system ... cubic
Symmetry ... F-43m, No. 216
Formation enthalpy at 0 K ... -0.434 eV per atom

Cell and atoms, written as POSCAR:
```
AcAlHgAu
1.0
-0.2992 -4.9561 1.6550
1.9382 -1.3177 4.6795
-3.2387 -1.2611 3.9130
Ac Hg Al Au
1 1 1 1
Direct
0.5000 0.5000 0.5000 Ac
0.7500 0.7500 0.7500 Hg
0.0000 0.0000 0.0000 Al
0.2500 0.2500 0.2500 Au
```



# 17
First-principles (PBE) data for a geometry-optimized Ac2AlHg2Au4 structure, as listed in the Alexandria database.

Summary:
Crystal system ... tetragonal
Symmetry ... I4/mmm, No. 139
Formation enthalpy at 0 K ... -0.564 eV per atom

Cell and atoms, written as POSCAR:
```
Ac2AlHg2Au4
1.0
6.7338 0.0660 0.0952
-3.1744 5.9389 -0.0952
-3.1744 -2.1757 5.5269
Au Hg Ac Al
4 2 2 1
Direct
0.5179 0.2590 0.2590 Au
0.4821 0.7410 0.7410 Au
0.0000 0.2590 0.7410 Au
0.0000 0.7410 0.2590 Au
0.0000 0.3051 0.3051 Hg
0.0000 0.6949 0.6949 Hg
0.5000 0.2500 0.7500 Ac
0.5000 0.7500 0.2500 Ac
0.0000 0.0000 0.0000 Al
```



# 18
First-principles (PBE) data for a geometry-optimized Ac3Al2HgAu6 structure, as listed in the Alexandria database.

Summary:
Crystal system ... trigonal
Symmetry ... P-3m1, No. 164
Formation enthalpy at 0 K ... -0.462 eV per atom

Cell and atoms, written as POSCAR:
```
Ac3Al2HgAu6
1.0
-4.2362 -0.3445 -4.9556
6.4197 -0.0113 -1.1866
0.0825 -8.6143 0.5284
Ac Au Hg Al
3 6 1 2
Direct
0.3333 0.6667 0.6440 Ac
0.0000 0.0000 0.0000 Ac
0.6667 0.3333 0.3560 Ac
0.8160 0.1840 0.7231 Au
0.8160 0.6321 0.7231 Au
0.6321 0.8160 0.2769 Au
0.3679 0.1840 0.7231 Au
0.1840 0.3679 0.2769 Au
0.1840 0.8160 0.2769 Au
0.0000 0.0000 0.5000 Hg
0.6667 0.3333 0.9557 Al
0.3333 0.6667 0.0443 Al
```



# 19
First-principles (PBE) data for a geometry-optimized AcHoAl2Au5 structure, as listed in the Alexandria database.

Summary:
Crystal system ... tetragonal
Symmetry ... P4/mmm, No. 123
Formation enthalpy at 0 K ... -0.584 eV per atom

Cell and atoms, written as POSCAR:
```
AcHoAl2Au5
1.0
-1.3541 -2.6635 -3.8916
4.1318 -2.6217 0.3567
-3.8506 -5.3847 5.0251
Al Au Ac Ho
2 5 1 1
Direct
0.5000 0.5000 0.8410 Al
0.5000 0.5000 0.1590 Al
0.5000 0.5000 0.5000 Au
0.5000 0.0000 0.2380 Au
0.0000 0.5000 0.2380 Au
0.0000 0.5000 0.7620 Au
0.5000 0.0000 0.7620 Au
0.0000 0.0000 0.5000 Ac
0.0000 0.0000 0.0000 Ho
```



# 20
First-principles (PBE) data for a geometry-optimized AcHoAl2Au2 structure, as listed in the Alexandria database.

Summary:
Crystal system ... trigonal
Symmetry ... P-3m1, No. 164
Formation enthalpy at 0 K ... -0.729 eV per atom

Cell and atoms, written as POSCAR:
```
AcHoAl2Au2
1.0
-0.2386 4.5953 0.2854
-2.8849 -2.6158 2.4678
5.0915 -0.0987 5.8474
Ho Al Au Ac
1 2 2 1
Direct
0.0000 0.0000 0.5000 Ho
0.3333 0.6667 0.7023 Al
0.6667 0.3333 0.2977 Al
0.3333 0.6667 0.2953 Au
0.6667 0.3333 0.7047 Au
0.0000 0.0000 0.0000 Ac
```



In order of appearance, calculated total energy = -47.25, -15.85, -42.78, -65.63, -27.05, -41.85, -51.90, -44.62, -44.11, -34.44, -48.88, -39.28, -17.74, -28.48, -31.80, -13.17, -30.74, -45.32, -37.81, -27.10 eV per cell.
In order of appearance, DOS at the Fermi energy = 0.35, 0.38, 0.55, 0.32, 1.30, 0.54, 0.55, 0.28, 0.66, 0.46, 0.55, 0.60, 0.41, 0.40, 0.42, 0.53, 0.53, 0.64, 0.49, 0.80 states/eV/atom.